VASP calculation (PBE) on a geometry-optimized MgIrRh14 structure.

Results
DFT formation energy   -0.0606 eV/atom
Crystal system   tetragonal
DOS at the Fermi energy   1.28 states/eV per atom
Volume   229 Å³/cell

Lattice parameters (Å, degrees): 5.4392 5.4392 7.7254 90.00 90.00 89.99
Closest atoms and distances in Å follow each position.
Fractional positions:
1 Mg 0.8748 0.1252 0.0000  12 Rh 2.72-2.75
2 Ir 0.3751 0.6249 0.0000  12 Rh 2.72-2.73
3 Rh 0.3749 0.6251 0.5000  12 Rh 2.70-2.72
4 Rh 0.8750 0.1250 0.5000  12 Rh 2.72-2.73
5 Rh 0.8750 0.6252 0.0000  2 Mg 2.72, 2 Ir 2.72, 8 Rh 2.74
6 Rh 0.8749 0.6250 0.5000  12 Rh 2.71-2.72
7 Rh 0.3748 0.1250 0.0000  2 Mg 2.72, 2 Ir 2.72, 8 Rh 2.74
8 Rh 0.3750 0.1251 0.5000  12 Rh 2.71-2.72
9 Rh 0.6229 0.8728 0.7478  10 Rh 2.70-2.74, 1 Ir 2.73, 1 Mg 2.75
10 Rh 0.6229 0.8728 0.2522  10 Rh 2.70-2.74, 1 Ir 2.73, 1 Mg 2.75
11 Rh 0.1272 0.3771 0.7478  10 Rh 2.70-2.74, 1 Ir 2.73, 1 Mg 2.75
12 Rh 0.1272 0.3771 0.2522  10 Rh 2.70-2.74, 1 Ir 2.73, 1 Mg 2.75
13 Rh 0.1271 0.8729 0.7478  10 Rh 2.70-2.74, 1 Ir 2.73, 1 Mg 2.75
14 Rh 0.1271 0.8729 0.2522  10 Rh 2.70-2.74, 1 Ir 2.73, 1 Mg 2.75
15 Rh 0.6230 0.3770 0.7479  10 Rh 2.70-2.74, 1 Ir 2.73, 1 Mg 2.75
16 Rh 0.6230 0.3770 0.2521  10 Rh 2.70-2.74, 1 Ir 2.73, 1 Mg 2.75

---

VASP calculation (PBE) on a geometry-optimized MgIr2Rh4 structure.

Results
DFT formation energy   0.1469 eV/atom
Crystal system   orthorhombic
DOS at the Fermi energy   1.47 states/eV per atom
Volume   214 Å³/cell

Lattice parameters (Å, degrees): 4.4797 4.2988 13.0308 90.00 90.00 121.40
Closest atoms and distances in Å follow each position.
Fractional positions:
1 Mg 0.4695 0.9390 0.2500  5 Rh 2.49-2.76
2 Mg 0.5305 0.0610 0.7500  5 Rh 2.49-2.76
3 Ir 0.8445 0.6890 0.9469  7 Rh 2.57-2.76, 1 Ir 2.67
4 Ir 0.1555 0.3110 0.0531  7 Rh 2.57-2.76, 1 Ir 2.67
5 Ir 0.8445 0.6890 0.5531  7 Rh 2.57-2.76, 1 Ir 2.67
6 Ir 0.1555 0.3110 0.4469  7 Rh 2.57-2.76, 1 Ir 2.67
7 Rh 0.2018 0.4035 0.6471  4 Ir 2.63-2.89, 5 Rh 2.68-2.91, 3 Mg 2.76-2.90
8 Rh 0.7982 0.5965 0.3529  4 Ir 2.63-2.89, 5 Rh 2.68-2.91, 3 Mg 2.76-2.90
9 Rh 0.7982 0.5965 0.1471  4 Ir 2.63-2.89, 5 Rh 2.68-2.91, 3 Mg 2.76-2.90
10 Rh 0.2018 0.4035 0.8529  4 Ir 2.63-2.89, 5 Rh 2.68-2.91, 3 Mg 2.76-2.90
11 Rh 0.8698 0.7397 0.7500  3 Mg 2.49-2.53, 2 Ir 2.57, 2 Rh 2.78
12 Rh 0.1302 0.2603 0.2500  3 Mg 2.49-2.53, 2 Ir 2.57, 2 Rh 2.78
13 Rh 0.5000 0.0000 0.0000  6 Ir 2.61-2.62, 2 Rh 2.91
14 Rh 0.5000 0.0000 0.5000  6 Ir 2.61-2.62, 2 Rh 2.91

---

VASP calculation (PBE) on a geometry-optimized Mg4IrRh2 structure.

Results
DFT formation energy   -0.2858 eV/atom
Crystal system   trigonal
DOS at the Fermi energy   0.72 states/eV per atom
Volume   121 Å³/cell

Lattice parameters (Å, degrees): 4.4560 4.4560 7.4685 72.64 72.64 60.00
Closest atoms and distances in Å follow each position.
Fractional positions:
1 Mg 0.8724 0.8724 0.3828  4 Rh 2.65-2.76, 1 Ir 2.68
2 Mg 0.1276 0.1276 0.6172  4 Rh 2.65-2.76, 1 Ir 2.68
3 Mg 0.6204 0.6204 0.1388  4 Rh 2.65-2.67, 3 Ir 2.75
4 Mg 0.3796 0.3796 0.8612  4 Rh 2.65-2.67, 3 Ir 2.75
5 Ir 0.0000 0.0000 0.0000  8 Mg 2.68-2.75
6 Rh 0.7464 0.7464 0.7608  8 Mg 2.65-2.76
7 Rh 0.2536 0.2536 0.2392  8 Mg 2.65-2.76